1.
This record from Alexandria describes Ca2SBrO after structural relaxation. The functional is PBEsol.

```
data_Ca2SBrO
_cell_length_a 5.299
_cell_length_b 5.299
_cell_length_c 4.151
_cell_angle_alpha 90.00
_cell_angle_beta 90.00
_cell_angle_gamma 90.00
_space_group_name_H-M_alt 'P 4/m m m'
_space_group_IT_number 123
_space_group_name_Hall '-P 4 2'
loop_
_atom_site_label
_atom_site_fract_x
_atom_site_fract_y
_atom_site_fract_z
_atom_site_occupancy
Ca1 0.000 0.500 0.000 1
S1 0.000 0.000 0.500 1
Br1 0.500 0.500 0.000 1
O1 0.500 0.500 0.500 1
```

Computed properties:
- Energy relative to the elements, uncorrected: -4.7 eV per formula unit


2.
This record from Alexandria describes SrCoTe2 after structural relaxation. The functional is PBEsol.

```
data_SrCoTe2
_cell_length_a 5.085
_cell_length_b 5.085
_cell_length_c 3.827
_cell_angle_alpha 90.00
_cell_angle_beta 90.00
_cell_angle_gamma 90.00
_space_group_name_H-M_alt 'P 4/m m m'
_space_group_IT_number 123
_space_group_name_Hall '-P 4 2'
loop_
_atom_site_label
_atom_site_fract_x
_atom_site_fract_y
_atom_site_fract_z
_atom_site_occupancy
Sr1 0.000 0.000 0.000 1
Co1 0.500 0.500 0.000 1
Te1 0.000 0.500 0.500 1
```

Computed properties:
- Energy relative to the elements, uncorrected: -0.6 eV per formula unit


3.
This record from Alexandria describes CuNi2Mo after structural relaxation. The functional is PBEsol.

```
data_CuNi2Mo
_cell_length_a 2.552
_cell_length_b 2.552
_cell_length_c 7.233
_cell_angle_alpha 90.00
_cell_angle_beta 90.00
_cell_angle_gamma 90.00
_space_group_name_H-M_alt 'P 4 m m'
_space_group_IT_number 99
_space_group_name_Hall 'P 4 -2'
loop_
_atom_site_label
_atom_site_fract_x
_atom_site_fract_y
_atom_site_fract_z
_atom_site_occupancy
Cu1 0.000 0.000 0.000 1
Ni1 0.000 0.000 0.537 1
Ni2 0.500 0.500 0.766 1
Mo1 0.500 0.500 0.278 1
```

Computed properties:
- Energy of formation: 0.3 eV per formula unit


4.
This record from Alexandria describes HfAs2 after structural relaxation. The functional is PBEsol.

```
data_HfAs2
_cell_length_a 6.741
_cell_length_b 3.653
_cell_length_c 8.903
_cell_angle_alpha 90.00
_cell_angle_beta 90.00
_cell_angle_gamma 90.00
_space_group_name_H-M_alt 'P n m a'
_space_group_IT_number 62
_space_group_name_Hall '-P 2ac 2n'
loop_
_atom_site_label
_atom_site_fract_x
_atom_site_fract_y
_atom_site_fract_z
_atom_site_occupancy
Hf1 0.230 0.250 0.163 1
As1 0.079 0.250 0.854 1
As2 0.121 0.250 0.457 1
```

Computed properties:
- Energy of formation: -2.5 eV per formula unit


5.
This record from Alexandria describes TaIn2Tc2 after structural relaxation. The functional is PBEsol.

```
data_TaIn2Tc2
_cell_length_a 3.681
_cell_length_b 3.681
_cell_length_c 13.669
_cell_angle_alpha 90.00
_cell_angle_beta 90.00
_cell_angle_gamma 90.00
_space_group_name_H-M_alt 'I 4/m m m'
_space_group_IT_number 139
_space_group_name_Hall '-I 4 2'
loop_
_atom_site_label
_atom_site_fract_x
_atom_site_fract_y
_atom_site_fract_z
_atom_site_occupancy
Ta1 0.000 0.000 0.000 1
In1 0.000 0.500 0.250 1
Tc1 0.000 0.000 0.411 1
```

Computed properties:
- Energy of formation: 3.3 eV per formula unit


6.
This record from Alexandria describes Cr3As after structural relaxation. The functional is PBEsol.

```
data_Cr3As
_cell_length_a 4.520
_cell_length_b 4.520
_cell_length_c 4.520
_cell_angle_alpha 90.00
_cell_angle_beta 90.00
_cell_angle_gamma 90.00
_space_group_name_H-M_alt 'P m -3 n'
_space_group_IT_number 223
_space_group_name_Hall '-P 4n 2 3'
loop_
_atom_site_label
_atom_site_fract_x
_atom_site_fract_y
_atom_site_fract_z
_atom_site_occupancy
Cr1 0.000 0.250 0.500 1
As1 0.000 0.000 0.000 1
```

Computed properties:
- Energy of formation: -0.6 eV per formula unit


7.
This record from Alexandria describes KLa2Tl after structural relaxation. The functional is PBEsol.

```
data_KLa2Tl
_cell_length_a 3.817
_cell_length_b 3.817
_cell_length_c 10.128
_cell_angle_alpha 90.00
_cell_angle_beta 90.00
_cell_angle_gamma 90.00
_space_group_name_H-M_alt 'P 4 m m'
_space_group_IT_number 99
_space_group_name_Hall 'P 4 -2'
loop_
_atom_site_label
_atom_site_fract_x
_atom_site_fract_y
_atom_site_fract_z
_atom_site_occupancy
K1 0.000 0.000 0.000 1
La1 0.000 0.000 0.566 1
La2 0.500 0.500 0.346 1
Tl1 0.500 0.500 0.757 1
```

Computed properties:
- Energy of formation: 0.0 eV per formula unit


8.
This record from Alexandria describes CoNi2Rh after structural relaxation. The functional is PBEsol.

```
data_CoNi2Rh
_cell_length_a 8.354
_cell_length_b 2.548
_cell_length_c 4.335
_cell_angle_alpha 90.00
_cell_angle_beta 100.66
_cell_angle_gamma 90.00
_space_group_name_H-M_alt 'C 1 2/m 1'
_space_group_IT_number 12
_space_group_name_Hall '-C 2y'
loop_
_atom_site_label
_atom_site_fract_x
_atom_site_fract_y
_atom_site_fract_z
_atom_site_occupancy
Co1 0.000 0.000 0.000 1
Ni1 0.247 0.500 0.242 1
Rh1 0.000 0.500 0.500 1
```

Computed properties:
- Energy of formation: 0.2 eV per formula unit


9.
This record from Alexandria describes Ta3WS8 after structural relaxation. The functional is PBEsol.

```
data_Ta3WS8
_cell_length_a 3.259
_cell_length_b 24.058
_cell_length_c 5.651
_cell_angle_alpha 90.00
_cell_angle_beta 90.00
_cell_angle_gamma 90.00
_space_group_name_H-M_alt 'I m m 2'
_space_group_IT_number 44
_space_group_name_Hall 'I 2 -2'
loop_
_atom_site_label
_atom_site_fract_x
_atom_site_fract_y
_atom_site_fract_z
_atom_site_occupancy
Ta1 0.000 0.000 0.000 1
Ta2 0.000 0.250 0.004 1
W1 0.000 0.500 0.006 1
S1 0.000 0.063 0.341 1
S2 0.000 0.185 0.670 1
S3 0.000 0.315 0.670 1
S4 0.000 0.435 0.333 1
```

Computed properties:
- Energy relative to the elements, uncorrected: -12.6 eV per formula unit


10.
This record from Alexandria describes OsPt2Cl after structural relaxation. The functional is PBEsol.

```
data_OsPt2Cl
_cell_length_a 6.257
_cell_length_b 6.257
_cell_length_c 6.257
_cell_angle_alpha 90.00
_cell_angle_beta 90.00
_cell_angle_gamma 90.00
_space_group_name_H-M_alt 'F m -3 m'
_space_group_IT_number 225
_space_group_name_Hall '-F 4 2 3'
loop_
_atom_site_label
_atom_site_fract_x
_atom_site_fract_y
_atom_site_fract_z
_atom_site_occupancy
Os1 0.000 0.000 0.000 1
Pt1 0.250 0.250 0.250 1
Cl1 0.000 0.000 0.500 1
```

Computed properties:
- Energy relative to the elements, uncorrected: 4.0 eV per formula unit


11.
This record from Alexandria describes RbSi3B after structural relaxation. The functional is PBEsol.

```
data_RbSi3B
_cell_length_a 4.494
_cell_length_b 4.494
_cell_length_c 4.494
_cell_angle_alpha 90.00
_cell_angle_beta 90.00
_cell_angle_gamma 90.00
_space_group_name_H-M_alt 'P m -3 m'
_space_group_IT_number 221
_space_group_name_Hall '-P 4 2 3'
loop_
_atom_site_label
_atom_site_fract_x
_atom_site_fract_y
_atom_site_fract_z
_atom_site_occupancy
Rb1 0.000 0.000 0.000 1
Si1 0.000 0.500 0.500 1
B1 0.500 0.500 0.500 1
```

Computed properties:
- Energy relative to the elements, uncorrected: 4.6 eV per formula unit


12.
This record from Alexandria describes Tl2CrIn after structural relaxation. The functional is PBEsol.

```
data_Tl2CrIn
_cell_length_a 3.117
_cell_length_b 4.665
_cell_length_c 13.053
_cell_angle_alpha 90.00
_cell_angle_beta 90.00
_cell_angle_gamma 90.00
_space_group_name_H-M_alt 'I m m 2'
_space_group_IT_number 44
_space_group_name_Hall 'I 2 -2'
loop_
_atom_site_label
_atom_site_fract_x
_atom_site_fract_y
_atom_site_fract_z
_atom_site_occupancy
Tl1 0.000 0.000 0.000 1
Tl2 0.000 0.500 0.193 1
Cr1 0.000 0.500 0.693 1
In1 0.000 0.000 0.378 1
```

Computed properties:
- Energy of formation: 1.6 eV per formula unit


no.,calculated volume (Å³/f.u.)
1,116.56
2,98.98
3,47.10
4,54.80
5,92.60
6,46.16
7,147.55
8,45.33
9,221.58
10,61.25
11,90.74
12,94.91